A relaxed structure of DyNbN2O. Source: OQMD via LeMat-Bulk, functional PBE.

Properties
Magnetization in μB/f.u.: 0.00
Uncorrected energy in Ry per atom: -0.6659
Crystal system: triclinic

Lattice parameters (Å, degrees): 7.9087 7.9097 7.9889 89.94 87.54 89.85
Space group P1 (No. 1)
Unique sites:
Dy: 0.0000 0.0000 0.0000 [1 per cell]
Dy: 0.0154 0.9947 0.4751 [1 per cell]
Dy: 0.4306 0.4982 0.9350 [1 per cell]
Dy: 0.4508 0.5011 0.4264 [1 per cell]
Dy: 0.5076 0.9995 0.4899 [1 per cell]
Dy: 0.5245 0.0033 0.9773 [1 per cell]
Dy: 0.9414 0.5027 0.4373 [1 per cell]
Dy: 0.9596 0.5010 0.9186 [1 per cell]
Nb: 0.2125 0.2459 0.7162 [1 per cell]
Nb: 0.2292 0.2378 0.2225 [1 per cell]
Nb: 0.2293 0.7641 0.7214 [1 per cell]
Nb: 0.2452 0.7645 0.2097 [1 per cell]
Nb: 0.7177 0.7440 0.7222 [1 per cell]
Nb: 0.7206 0.7330 0.2072 [1 per cell]
Nb: 0.7350 0.2547 0.7158 [1 per cell]
Nb: 0.7374 0.2573 0.2163 [1 per cell]
N: 0.1513 0.9983 0.7412 [1 per cell]
N: 0.1756 0.6888 0.9547 [1 per cell]
N: 0.1828 0.3085 0.9507 [1 per cell]
N: 0.2707 0.0021 0.1351 [1 per cell]
N: 0.2758 0.7998 0.4526 [1 per cell]
N: 0.2878 0.1940 0.4514 [1 per cell]
N: 0.4776 0.8073 0.7550 [1 per cell]
N: 0.4802 0.6909 0.1500 [1 per cell]
N: 0.6717 0.3014 0.4506 [1 per cell]
N: 0.6836 0.6993 0.4489 [1 per cell]
N: 0.6889 0.4979 0.7700 [1 per cell]
N: 0.7732 0.1876 0.9489 [1 per cell]
N: 0.7833 0.8133 0.9476 [1 per cell]
N: 0.8064 0.5003 0.1678 [1 per cell]
N: 0.9786 0.1917 0.2554 [1 per cell]
N: 0.9802 0.3073 0.6502 [1 per cell]
O: 0.1904 0.4998 0.2856 [1 per cell]
O: 0.3130 0.4943 0.6712 [1 per cell]
O: 0.4781 0.3163 0.1485 [1 per cell]
O: 0.4805 0.1772 0.7512 [1 per cell]
O: 0.6466 0.0034 0.2367 [1 per cell]
O: 0.7673 0.9974 0.6185 [1 per cell]
O: 0.9778 0.8206 0.2516 [1 per cell]
O: 0.9823 0.6829 0.6503 [1 per cell]

=====

A relaxed structure of ZnP2PbO7. Source: OQMD via LeMat-Bulk, functional PBE.

Properties
Uncorrected energy in Ry per atom: -0.4825
Crystal system: monoclinic

Lattice parameters (Å, degrees): 5.2217 8.2770 13.8075 90.00 111.87 90.00
Space group P2_1/c (No. 14)
Unique sites:
Zn: 0.0622 0.1479 0.3933 [4 per cell]
P: 0.0864 0.5347 0.3388 [4 per cell]
P: 0.3076 0.6996 0.9811 [4 per cell]
Pb: 0.4305 0.1662 0.7192 [4 per cell]
O: 0.0835 0.6005 0.8975 [4 per cell]
O: 0.1755 0.1417 0.8485 [4 per cell]
O: 0.1997 0.6208 0.2644 [4 per cell]
O: 0.2229 0.0595 0.1926 [4 per cell]
O: 0.2355 0.6121 0.4533 [4 per cell]
O: 0.2998 0.6811 0.0902 [4 per cell]
O: 0.4085 0.1673 0.5239 [4 per cell]

=====

A relaxed structure of Nb4CoAuN2. Source: OQMD via LeMat-Bulk, functional PBE.

Properties
Magnetization in μB/f.u.: 0.51
Uncorrected energy in Ry per atom: -0.6538
Crystal system: hexagonal

Lattice parameters (Å, degrees): 3.1289 3.1289 13.3305 90.00 90.00 120.00
Space group P-6m2 (No. 187)
Unique sites:
Nb: 0.0000 0.0000 0.1466 [2 per cell]
Nb: 0.6667 0.3333 0.3271 [2 per cell]
Co: 0.6667 0.3333 0.0000 [1 per cell]
Au: 0.0000 0.0000 0.5000 [1 per cell]
N: 0.3333 0.6667 0.2377 [2 per cell]

=====

A relaxed structure of Zn4AsPBr2. Source: OQMD via LeMat-Bulk, functional PBE.

Properties
Uncorrected energy in Ry per atom: -0.2018
Crystal system: tetragonal

Lattice parameters (Å, degrees): 5.8337 5.8337 11.7903 90.00 90.00 90.00
Space group I-4 (No. 82)
Unique sites:
Zn: 0.1857 0.2432 0.3775 [8 per cell]
As: 0.0000 0.5000 0.2500 [2 per cell]
P: 0.0000 0.0000 0.5000 [2 per cell]
Br: 0.0000 0.0000 0.0000 [2 per cell]
Br: 0.0000 0.5000 0.7500 [2 per cell]

=====

A relaxed structure of GaMo. Source: OQMD via LeMat-Bulk, functional PBE.

Properties
Magnetization in μB/f.u.: 1.05
Crystal system: cubic
Polymorph energy (0 for the lowest one) in meV per atom: 1687.9

Lattice parameters (Å, degrees): 5.7070 5.7070 5.7070 90.00 90.00 90.00
Space group F-43m (No. 216)
Unique sites:
Ga: 0.0000 0.0000 0.0000 [4 per cell]
Mo: 0.2500 0.2500 0.7500 [4 per cell]

=====

A relaxed structure of TaTlCuIr. Source: OQMD via LeMat-Bulk, functional PBE.

Properties
Magnetization in μB/f.u.: 0.00
Crystal system: cubic
Polymorph energy (0 for the lowest one) in meV per atom: 0.0

Lattice parameters (Å, degrees): 6.4402 6.4402 6.4402 90.00 90.00 90.00
Space group F-43m (No. 216)
Unique sites:
Ta: 0.0000 0.0000 0.0000 [4 per cell]
Tl: 0.0000 0.0000 0.5000 [4 per cell]
Cu: 0.2500 0.2500 0.7500 [4 per cell]
Ir: 0.2500 0.2500 0.2500 [4 per cell]

=====

A relaxed structure of Dy2TmSn3PdPt2. Source: OQMD via LeMat-Bulk, functional PBE.

Properties
Magnetization in μB/f.u.: 0.00
Uncorrected energy in Ry per atom: -0.4279
Crystal system: orthorhombic

Lattice parameters (Å, degrees): 3.9965 12.9875 7.5336 90.00 90.00 90.00
Space group Amm2 (No. 38)
Unique sites:
Dy: 0.0000 0.2042 0.0000 [4 per cell]
Tm: 0.0000 0.0000 0.3878 [2 per cell]
Sn: 0.5000 0.0000 0.0545 [2 per cell]
Sn: 0.5000 0.1287 0.6660 [4 per cell]
Pd: 0.0000 0.0000 0.7939 [2 per cell]
Pt: 0.5000 0.1652 0.2965 [4 per cell]

=====

A relaxed structure of Li4GeSbPt2. Source: OQMD via LeMat-Bulk, functional PBE.

Properties
Magnetization in μB/f.u.: 0.01
Uncorrected energy in Ry per atom: -0.3101
Crystal system: tetragonal

Lattice parameters (Å, degrees): 4.3323 4.3323 6.3217 90.00 90.00 90.00
Space group P-4m2 (No. 115)
Unique sites:
Li: 0.0000 0.0000 0.0000 [1 per cell]
Li: 0.0000 0.5000 0.7253 [2 per cell]
Li: 0.5000 0.5000 0.5000 [1 per cell]
Ge: 0.0000 0.0000 0.5000 [1 per cell]
Sb: 0.5000 0.5000 0.0000 [1 per cell]
Pt: 0.0000 0.5000 0.2701 [2 per cell]

=====

A relaxed structure of DyGePO. Source: OQMD via LeMat-Bulk, functional PBE.

Properties
Magnetization in μB/f.u.: 0.00
Crystal system: tetragonal
Polymorph energy (0 for the lowest one) in meV per atom: 333.4

Lattice parameters (Å, degrees): 3.9229 3.9229 4.7717 90.00 90.00 90.00
Space group P4/mmm (No. 123)
Unique sites:
Dy: 0.0000 0.0000 0.0000 [1 per cell]
Ge: 0.5000 0.5000 0.5000 [1 per cell]
P: 0.5000 0.5000 0.0000 [1 per cell]
O: 0.0000 0.0000 0.5000 [1 per cell]

=====

A relaxed structure of Tm4CdC2Se. Source: OQMD via LeMat-Bulk, functional PBE.

Properties
Magnetization in μB/f.u.: 0.92
Uncorrected energy in Ry per atom: -0.4292
Crystal system: hexagonal

Lattice parameters (Å, degrees): 3.6138 3.6138 14.6792 90.00 90.00 120.00
Space group P-6m2 (No. 187)
Unique sites:
Tm: 0.0000 0.0000 0.1345 [2 per cell]
Tm: 0.3333 0.6667 0.3127 [2 per cell]
Cd: 0.0000 0.0000 0.5000 [1 per cell]
C: 0.6667 0.3333 0.2257 [2 per cell]
Se: 0.3333 0.6667 0.0000 [1 per cell]

=====

A relaxed structure of NaYNi. Source: OQMD via LeMat-Bulk, functional PBE.

Properties
Magnetization in μB/f.u.: 0.00
Crystal system: cubic
Polymorph energy (0 for the lowest one) in meV per atom: 416.9

Lattice parameters (Å, degrees): 6.6711 6.6711 6.6711 90.00 90.00 90.00
Space group F-43m (No. 216)
Unique sites:
Na: 0.0000 0.0000 0.0000 [4 per cell]
Y: 0.2500 0.2500 0.2500 [4 per cell]
Ni: 0.0000 0.0000 0.5000 [4 per cell]

=====

A relaxed structure of Hf4TlAsC2. Source: OQMD via LeMat-Bulk, functional PBE.

Properties
Magnetization in μB/f.u.: 0.00
Uncorrected energy in Ry per atom: -0.6583
Crystal system: hexagonal

Lattice parameters (Å, degrees): 3.3782 3.3782 13.7387 90.00 90.00 120.00
Space group P-6m2 (No. 187)
Unique sites:
Hf: 0.0000 0.0000 0.1408 [2 per cell]
Hf: 0.6667 0.3333 0.3182 [2 per cell]
Tl: 0.0000 0.0000 0.5000 [1 per cell]
As: 0.6667 0.3333 0.0000 [1 per cell]
C: 0.3333 0.6667 0.2318 [2 per cell]